No. 1
The following is a DFT calculation (PBE) of Li2AlAg6 after structural relaxation.

Computed properties:
The space group is P4_2/mnm (136). The formation enthalpy at 0 K comes out at -1.41 eV/f.u. Its energy relative to the lowest polymorph listed for this composition is 0 meV per atom.

abc: 8.239 8.239 4.429
angles: 90.00 90.00 90.00
Element x y z (fractional)
Li  0.197  0.197  0.000
Li  0.303  0.697  0.500
Li  0.697  0.303  0.500
Li  0.803  0.803  0.000
Al  0.000  0.000  0.500
Al  0.500  0.500  0.000
Ag  0.025  0.328  0.500
Ag  0.130  0.870  0.000
Ag  0.172  0.525  0.000
Ag  0.328  0.025  0.500
Ag  0.370  0.370  0.500
Ag  0.475  0.828  0.000
Ag  0.525  0.172  0.000
Ag  0.630  0.630  0.500
Ag  0.672  0.975  0.500
Ag  0.828  0.475  0.000
Ag  0.870  0.130  0.000
Ag  0.975  0.672  0.500

No. 2
The following is a DFT calculation (PBE) of KAs2CI after structural relaxation.

Computed properties:
The uncorrected formation energy is 2.382 eV per atom. The space group is P4/mmm (123).

abc: 5.826 5.826 4.463
angles: 90.00 90.00 90.00
Element x y z (fractional)
K  0.000  0.000  0.000
As  0.000  0.500  0.000
As  0.500  0.000  0.000
C  0.000  0.000  0.500
I  0.500  0.500  0.500

No. 3
The following is a DFT calculation (PBE) of KCuHg2Pb after structural relaxation.

Computed properties:
The space group is P4/mmm (123). The formation enthalpy at 0 K comes out at 0.01 eV/f.u. Its energy relative to the lowest polymorph listed for this composition is 0 meV per atom.

abc: 5.299 5.299 5.242
angles: 90.00 90.00 90.00
Element x y z (fractional)
K  0.000  0.000  0.000
Cu  0.500  0.500  0.500
Hg  0.000  0.500  0.500
Hg  0.500  0.000  0.500
Pb  0.500  0.500  0.000

No. 4
The following is a DFT calculation (PBE) of Ce4USe5 after structural relaxation.

Computed properties:
The uncorrected formation energy is -1.643 eV per atom. The space group is I4/mmm (139).

abc: 15.048 15.048 15.048
angles: 164.08 164.08 22.59
Element x y z (fractional)
Ce  0.099  0.099  0.000
Ce  0.301  0.301  0.000
Ce  0.699  0.699  0.000
Ce  0.901  0.901  0.000
U  0.500  0.500  0.000
Se  0.000  0.000  0.000
Se  0.200  0.200  0.000
Se  0.401  0.401  0.000
Se  0.599  0.599  0.000
Se  0.800  0.800  0.000

No. 5
The following is a DFT calculation (PBE) of K2ErU2Te6 after structural relaxation.

Computed properties:
The uncorrected formation energy is -0.991 eV per atom. The space group is C2/m (12).

abc: 7.662 7.662 8.832
angles: 98.35 98.35 120.01
Element x y z (fractional)
K  0.167  0.833  0.000
K  0.833  0.167  0.000
Er  0.000  0.000  0.500
U  0.333  0.667  0.500
U  0.667  0.333  0.500
Te  0.071  0.401  0.707
Te  0.264  0.264  0.294
Te  0.401  0.071  0.707
Te  0.599  0.929  0.293
Te  0.736  0.736  0.706
Te  0.929  0.599  0.293

No. 6
The following is a DFT calculation (PBE) of Li2Al6Cu after structural relaxation.

Computed properties:
The space group is C2/m (12). The formation enthalpy at 0 K comes out at 0.82 eV/f.u.

abc: 7.204 7.204 4.119
angles: 105.93 105.93 49.25
Element x y z (fractional)
Li  0.167  0.167  0.163
Li  0.833  0.833  0.837
Al  0.091  0.581  0.340
Al  0.256  0.744  0.000
Al  0.419  0.909  0.660
Al  0.581  0.091  0.340
Al  0.744  0.256  0.000
Al  0.909  0.419  0.660
Cu  0.500  0.500  0.500